1) Here is a relaxed structure of LaNd4Tm2 from the Alexandria database. Energies are from GGA-PBE.

Cell: 6.5010 24.4358 6.8595 Å, 90.00 118.20 90.00°
Space group Cc (No. 9)
Asymmetric unit:
La: 0.0000 0.1248 0.0000
Nd: 0.0681 0.3028 0.6022
Nd: 0.1009 0.2680 0.1279
Nd: 0.4674 0.0525 0.9000
Nd: 0.4743 0.4816 0.8749
Tm: 0.0380 0.4080 0.9458
Tm: 0.0936 0.1583 0.5551

Summary:
Calculated density = 7.3 g/cm³

2) Here is a relaxed structure of LaNd4Tm2 from the Alexandria database. Energies are from GGA-PBE.

Cell: 6.9465 11.5339 12.2475 Å, 90.00 90.00 90.00°
Space group Imma (No. 74)
Asymmetric unit:
La: 0.0000 0.0000 0.0000
Nd: 0.0000 0.0062 0.3533
Nd: 0.2189 0.2500 0.5097
Tm: 0.0000 0.2500 0.7794
Tm: 0.2500 0.2500 0.2500

Summary:
Calculated density = 7.1 g/cm³

Which structure is the least stable? The one labeled 2).

1) Here is a relaxed structure of LaNd7Tm4 from the Alexandria database. Energies are from GGA-PBE.

Cell: 16.1404 6.0165 9.5499 Å, 90.00 117.40 90.00°
Space group C2/m (No. 12)
Asymmetric unit:
La: 0.0000 0.0000 0.0000
Nd: 0.0000 0.5000 0.0000
Nd: 0.0894 0.0000 0.4587
Nd: 0.2171 0.0000 0.2475
Nd: 0.2180 0.0000 0.8888
Tm: 0.0684 0.5000 0.6989
Tm: 0.1669 0.5000 0.3739

Summary:
Calculated density = 7.4 g/cm³

2) Here is a relaxed structure of LaNd7Tm4 from the Alexandria database. Energies are from GGA-PBE.

Cell: 6.3284 7.3063 8.9938 Å, 90.00 76.43 89.99°
Space group P-1 (No. 2)
Asymmetric unit:
La: 0.0000 0.0000 0.0000
Nd: 0.0000 0.5000 0.0000
Nd: 0.2238 0.9999 0.3357
Nd: 0.2812 0.2527 0.6630
Nd: 0.5000 0.2549 0.0028
Tm: 0.2177 0.4999 0.3367
Tm: 0.2774 0.7437 0.6647

Summary:
Calculated density = 7.5 g/cm³

Which structure is the least stable? The one labeled 1).

1) Here is a relaxed structure of LaNd3Tm3 from the Alexandria database. Energies are from GGA-PBE.

Cell: 8.7147 8.7147 22.2880 Å, 90.00 90.00 120.00°
Space group R-3 (No. 148, hexagonal axes)
Asymmetric unit:
La: 0.0000 0.0000 0.1554
Nd: 0.0485 0.6006 0.3801
Tm: 0.0054 0.7768 0.5585

Summary:
Calculated density = 7.3 g/cm³

2) Here is a relaxed structure of LaNd3Tm3 from the Alexandria database. Energies are from GGA-PBE.

Cell: 9.6726 9.6726 5.7948 Å, 90.00 90.00 120.00°
Space group P6_3/m (No. 176)
Asymmetric unit:
La: 0.3333 0.6667 0.2500
Nd: 0.0951 0.6215 0.7500
Tm: 0.0448 0.8149 0.2500

Summary:
Calculated density = 7.6 g/cm³

Which structure is the least stable? The one labeled 1).

1) Here is a relaxed structure of La2Nd3Tm from the Alexandria database. Energies are from GGA-PBE.

Cell: 7.1425 10.0522 5.8007 Å, 90.00 90.00 90.00°
Space group Pnnm (No. 58)
Asymmetric unit:
La: 0.2475 0.1685 0.0000
Nd: 0.0000 0.5000 0.0000
Nd: 0.2496 0.3323 0.5000
Tm: 0.0000 0.0000 0.5000

Summary:
Calculated density = 7.0 g/cm³

2) Here is a relaxed structure of La2Nd3Tm from the Alexandria database. Energies are from GGA-PBE.

Cell: 6.3886 6.3886 11.8644 Å, 90.00 90.00 120.00°
Space group P6_3/mcm (No. 193)
Asymmetric unit:
La: 0.3333 0.6667 0.0000
Nd: 0.0000 0.3260 0.2500
Tm: 0.0000 0.0000 0.0000

Summary:
Calculated density = 7.0 g/cm³

Which structure is the least stable? The one labeled 1).

1) Here is a relaxed structure of La6Nd4Y from the Alexandria database. Energies are from GGA-PBE.

Cell: 6.8505 6.8505 16.8472 Å, 90.00 90.00 90.00°
Space group I-42m (No. 121)
Asymmetric unit:
La: 0.0000 0.5000 0.0000
La: 0.1591 0.1591 0.1169
Nd: 0.1809 0.1809 0.3152
Y: 0.0000 0.0000 0.5000

Summary:
Calculated density = 6.3 g/cm³

2) Here is a relaxed structure of La6Nd4Y from the Alexandria database. Energies are from GGA-PBE.

Cell: 7.0413 7.0413 16.3525 Å, 90.00 90.00 90.00°
Space group I-42m (No. 121)
Asymmetric unit:
La: 0.0000 0.5000 0.0000
La: 0.1881 0.1881 0.1832
Nd: 0.1684 0.1684 0.3937
Y: 0.0000 0.0000 0.0000

Summary:
Calculated density = 6.1 g/cm³

Which structure is the least stable? The one labeled 2).

1) Here is a relaxed structure of LaNd7Y3 from the Alexandria database. Energies are from GGA-PBE.

Cell: 11.9029 10.2401 6.5070 Å, 90.00 95.69 90.00°
Space group C2/m (No. 12)
Asymmetric unit:
La: 0.0000 0.0000 0.0000
Nd: 0.0000 0.0000 0.5000
Nd: 0.2362 0.5000 0.7118
Nd: 0.2490 0.3249 0.2406
Y: 0.0000 0.3305 0.5000
Y: 0.0000 0.5000 0.0000

Summary:
Calculated density = 6.0 g/cm³

2) Here is a relaxed structure of LaNd7Y3 from the Alexandria database. Energies are from GGA-PBE.

Cell: 7.2637 7.2637 8.7703 Å, 90.00 90.00 120.00°
Space group P3m1 (No. 156)
Asymmetric unit:
La: 0.0000 0.0000 0.0000
Nd: 0.0007 0.5003 0.0175
Nd: 0.3330 0.1665 0.6699
Nd: 0.3333 0.6667 0.6858
Y: 0.1670 0.3340 0.3447

Summary:
Calculated density = 5.9 g/cm³

Which structure is the least stable? The one labeled 1).

1) Here is a relaxed structure of La4Nd2Y3 from the Alexandria database. Energies are from GGA-PBE.

Cell: 15.5642 5.2159 8.1917 Å, 90.00 108.61 90.00°
Space group C2/m (No. 12)
Asymmetric unit:
La: 0.0551 0.0000 0.3326
La: 0.2222 0.5000 0.3331
Nd: 0.1669 0.0000 0.0005
Y: 0.0000 0.5000 0.0000
Y: 0.1113 0.5000 0.6696

Summary:
Calculated density = 5.9 g/cm³

2) Here is a relaxed structure of La4Nd2Y3 from the Alexandria database. Energies are from GGA-PBE.

Cell: 13.1609 3.7078 14.7453 Å, 90.00 115.81 90.00°
Space group C2/m (No. 12)
Asymmetric unit:
La: 0.2190 0.0000 0.1052
La: 0.2252 0.5000 0.3727
Nd: 0.0480 0.0000 0.7093
Y: 0.0000 0.5000 0.5000
Y: 0.0051 0.5000 0.8889

Summary:
Calculated density = 5.7 g/cm³

Which structure is the least stable? The one labeled 2).

1) Here is a relaxed structure of La5NdY3 from the Alexandria database. Energies are from GGA-PBE.

Cell: 8.8369 8.8369 16.4877 Å, 90.00 90.00 90.00°
Space group I4/mcm (No. 140)
Asymmetric unit:
La: 0.0000 0.0000 0.0000
La: 0.1981 0.3019 0.1417
Nd: 0.0000 0.5000 0.2500
Y: 0.0000 0.0000 0.2500
Y: 0.1212 0.3788 0.5000

Summary:
Calculated density = 5.7 g/cm³

2) Here is a relaxed structure of La5NdY3 from the Alexandria database. Energies are from GGA-PBE.

Cell: 19.0330 6.5984 11.5379 Å, 90.00 114.52 90.00°
Space group C2/c (No. 15)
Asymmetric unit:
La: 0.0000 0.0934 0.2500
La: 0.1695 0.3225 0.3609
La: 0.1700 0.2026 0.7129
Nd: 0.0000 0.3653 0.7500
Y: 0.0000 0.5000 0.0000
Y: 0.1595 0.2068 0.0148

Summary:
Calculated density = 5.6 g/cm³

Which structure is the least stable? The one labeled 1).

1) Here is a relaxed structure of La2Nd7Y3 from the Alexandria database. Energies are from GGA-PBE.

Cell: 6.5400 3.6051 17.8899 Å, 90.00 95.81 90.00°
Space group P2/m (No. 10)
Asymmetric unit:
La: 0.0567 0.0000 0.1696
Nd: 0.0000 0.5000 0.5000
Nd: 0.2290 0.0000 0.6681
Nd: 0.2582 0.0000 0.9966
Nd: 0.2766 0.5000 0.3359
Y: 0.4554 0.5000 0.8411
Y: 0.5000 0.0000 0.5000

Summary:
Calculated density = 6.2 g/cm³

2) Here is a relaxed structure of La2Nd7Y3 from the Alexandria database. Energies are from GGA-PBE.

Cell: 5.9955 3.6702 19.2385 Å, 90.00 93.58 90.00°
Space group P2/m (No. 10)
Asymmetric unit:
La: 0.2018 0.0000 0.2976
Nd: 0.1783 0.5000 0.1435
Nd: 0.2417 0.0000 0.4642
Nd: 0.3212 0.0000 0.8230
Nd: 0.5000 0.5000 0.0000
Y: 0.0000 0.0000 0.0000
Y: 0.2848 0.5000 0.6306

Summary:
Calculated density = 6.1 g/cm³

Which structure is the least stable? The one labeled 2).

1) Here is a relaxed structure of LaNd2Y4 from the Alexandria database. Energies are from GGA-PBE.

Cell: 3.5968 3.5968 64.1002 Å, 90.00 90.00 120.00°
Space group R-3m (No. 166, hexagonal axes)
Asymmetric unit:
La: 0.0000 0.0000 0.0000
Nd: 0.0000 0.0000 0.2341
Y: 0.0000 0.0000 0.1439
Y: 0.0000 0.0000 0.2880

Summary:
Calculated density = 5.4 g/cm³

2) Here is a relaxed structure of LaNd2Y4 from the Alexandria database. Energies are from GGA-PBE.

Cell: 17.0749 3.5949 8.9050 Å, 90.00 119.78 90.00°
Space group C2/m (No. 12)
Asymmetric unit:
La: 0.0000 0.0000 0.0000
Nd: 0.0692 0.0000 0.4295
Y: 0.1467 0.5000 0.8432
Y: 0.2077 0.5000 0.2942

Summary:
Calculated density = 5.5 g/cm³

Which structure is the least stable? The one labeled 1).